Record 1
A plane-wave DFT calculation with PBE was carried out for a relaxed structure of Ac2SF4.

abc: 8.190 8.190 8.190
angles: 30.60 30.60 30.60
Sites, in units of the cell vectors:
1 Ac 0.246 0.246 0.246
2 Ac 0.754 0.754 0.754
3 S 0.000 0.000 0.000
4 F 0.138 0.138 0.138
5 F 0.428 0.428 0.428
6 F 0.572 0.572 0.572
7 F 0.862 0.862 0.862

Values from the calculation:
space group	R-3m
total magnetic moment	0.0	μB per cell
Fermi-level density of states	0.000	states/eV/f.u.
E_form (uncorrected)	-3.770	eV/atom

***

Record 2
A plane-wave DFT calculation with PBE was carried out for a relaxed structure of AcS6F2.

abc: 4.147 6.893 7.675
angles: 89.96 85.47 89.63
Sites, in units of the cell vectors:
1 Ac 0.000 0.000 0.000
2 S 0.102 0.259 0.643
3 S 0.109 0.732 0.646
4 S 0.117 0.503 0.244
5 S 0.883 0.497 0.756
6 S 0.891 0.268 0.354
7 S 0.898 0.741 0.357
8 F 0.498 0.190 0.001
9 F 0.502 0.810 0.999

Values from the calculation:
space group	P-1
total magnetic moment	0.8	μB per cell
Fermi-level density of states	2.452	states/eV/f.u.
E_form (uncorrected)	-1.195	eV/atom

***

Record 3
A plane-wave DFT calculation with PBE was carried out for a relaxed structure of AcS8F2.

abc: 4.040 6.635 9.938
angles: 102.12 94.43 94.39
Sites, in units of the cell vectors:
1 Ac 0.000 0.000 0.000
2 S 0.075 0.687 0.313
3 S 0.139 0.139 0.510
4 S 0.183 0.586 0.713
5 S 0.369 0.460 0.072
6 S 0.631 0.540 0.928
7 S 0.817 0.414 0.287
8 S 0.861 0.861 0.490
9 S 0.925 0.313 0.687
10 F 0.480 0.009 0.864
11 F 0.520 0.991 0.136

Values from the calculation:
space group	P-1
total magnetic moment	0.0	μB per cell
Fermi-level density of states	2.673	states/eV/f.u.
E_form (uncorrected)	-0.912	eV/atom

***

Record 4
A plane-wave DFT calculation with PBE was carried out for a relaxed structure of AcS2F.

abc: 5.739 4.969 7.179
angles: 90.00 113.39 90.00
Sites, in units of the cell vectors:
1 Ac 0.132 0.250 0.262
2 Ac 0.868 0.750 0.738
3 S 0.342 0.537 0.684
4 S 0.342 0.963 0.684
5 S 0.658 0.037 0.316
6 S 0.658 0.463 0.316
7 F 0.059 0.750 0.117
8 F 0.941 0.250 0.883

Values from the calculation:
space group	P2_1/m
total magnetic moment	0.0	μB per cell
E_form (uncorrected)	-2.247	eV/atom

***

Record 5
A plane-wave DFT calculation with PBE was carried out for a relaxed structure of Ac2SmS3F3.

abc: 7.517 7.517 4.032
angles: 90.00 90.00 120.00
Sites, in units of the cell vectors:
1 Ac 0.333 0.667 0.000
2 Ac 0.667 0.333 0.000
3 Sm 0.000 0.000 0.500
4 S 0.000 0.743 0.000
5 S 0.257 0.257 0.000
6 S 0.743 0.000 0.000
7 F 0.000 0.425 0.500
8 F 0.425 0.000 0.500
9 F 0.575 0.575 0.500

Values from the calculation:
space group	P-62m
total magnetic moment	0.0	μB per cell
Fermi-level density of states	0.000	states/eV/f.u.
E_form (uncorrected)	-2.665	eV/atom

***

Record 6
A plane-wave DFT calculation with PBE was carried out for a relaxed structure of Ac2TeSF2.

abc: 4.407 4.407 8.584
angles: 90.00 90.00 120.00
Sites, in units of the cell vectors:
1 Ac 0.333 0.667 0.226
2 Ac 0.667 0.333 0.774
3 Te 0.000 0.000 0.500
4 S 0.000 0.000 0.000
5 F 0.333 0.667 0.777
6 F 0.667 0.333 0.223

Values from the calculation:
space group	P-3m1
total magnetic moment	0.0	μB per cell
Fermi-level density of states	0.000	states/eV/f.u.
E_form (uncorrected)	-2.963	eV/atom

***

Record 7
A plane-wave DFT calculation with PBE was carried out for a relaxed structure of Ac2US3F3.

abc: 7.593 7.593 3.874
angles: 90.00 90.00 120.00
Sites, in units of the cell vectors:
1 Ac 0.333 0.667 0.000
2 Ac 0.667 0.333 0.000
3 U 0.000 0.000 0.500
4 S 0.000 0.255 0.000
5 S 0.255 0.000 0.000
6 S 0.745 0.745 0.000
7 F 0.000 0.578 0.500
8 F 0.422 0.422 0.500
9 F 0.578 0.000 0.500

Values from the calculation:
space group	P-62m
total magnetic moment	2.5	μB per cell
Fermi-level density of states	8.427	states/eV/f.u.
E_form (uncorrected)	-2.441	eV/atom

***

Record 8
A plane-wave DFT calculation with PBE was carried out for a relaxed structure of AcSb2F.

abc: 4.205 4.205 5.785
angles: 90.00 90.00 90.00
Sites, in units of the cell vectors:
1 Ac 0.000 0.000 0.000
2 Sb 0.000 0.500 0.500
3 Sb 0.500 0.000 0.500
4 F 0.500 0.500 0.000

Values from the calculation:
space group	P4/mmm
total magnetic moment	0.0	μB per cell
Fermi-level density of states	1.216	states/eV/f.u.
E_form (uncorrected)	-1.530	eV/atom

***

Record 9
A plane-wave DFT calculation with PBE was carried out for a relaxed structure of Ac4Sb2F.

abc: 9.747 9.747 9.747
angles: 149.72 149.72 43.35
Sites, in units of the cell vectors:
1 Ac 0.000 0.500 0.500
2 Ac 0.180 0.180 0.000
3 Ac 0.500 0.000 0.500
4 Ac 0.820 0.820 0.000
5 Sb 0.367 0.367 0.000
6 Sb 0.633 0.633 0.000
7 F 0.000 0.000 0.000

Values from the calculation:
space group	I4/mmm
total magnetic moment	0.0	μB per cell
Fermi-level density of states	8.715	states/eV/f.u.
E_form (uncorrected)	-1.218	eV/atom

***

Record 10
A plane-wave DFT calculation with PBE was carried out for a relaxed structure of Ac2SbF3.

abc: 8.478 8.478 8.312
angles: 114.21 114.21 29.89
Sites, in units of the cell vectors:
1 Ac 0.026 0.026 0.252
2 Ac 0.294 0.294 0.295
3 Ac 0.706 0.706 0.705
4 Ac 0.974 0.974 0.748
5 Sb 0.369 0.369 0.956
6 Sb 0.631 0.631 0.044
7 F 0.099 0.099 0.647
8 F 0.193 0.193 0.460
9 F 0.436 0.436 0.582
10 F 0.564 0.564 0.418
11 F 0.807 0.807 0.540
12 F 0.901 0.901 0.353

Values from the calculation:
space group	C2/m
total magnetic moment	0.0	μB per cell
E_form (uncorrected)	-3.151	eV/atom

***

Record 11
A plane-wave DFT calculation with PBE was carried out for a relaxed structure of Ac2Se3F.

abc: 7.777 7.777 7.777
angles: 65.30 65.30 65.30
Sites, in units of the cell vectors:
1 Ac 0.129 0.129 0.129
2 Ac 0.371 0.371 0.371
3 Ac 0.629 0.629 0.629
4 Ac 0.871 0.871 0.871
5 Se 0.022 0.750 0.478
6 Se 0.250 0.522 0.978
7 Se 0.478 0.022 0.750
8 Se 0.522 0.978 0.250
9 Se 0.750 0.478 0.022
10 Se 0.978 0.250 0.522
11 F 0.000 0.000 0.000
12 F 0.500 0.500 0.500

Values from the calculation:
space group	R-3c
total magnetic moment	0.0	μB per cell
Fermi-level density of states	8.275	states/eV/f.u.
E_form (uncorrected)	-2.164	eV/atom

***

Record 12
A plane-wave DFT calculation with PBE was carried out for a relaxed structure of Ac4Se5F.

abc: 10.563 10.563 8.155
angles: 112.57 112.57 23.86
Sites, in units of the cell vectors:
1 Ac 0.000 0.000 0.245
2 Ac 0.000 0.000 0.755
3 Ac 0.279 0.279 0.779
4 Ac 0.721 0.721 0.221
5 Se 0.162 0.162 0.397
6 Se 0.162 0.162 0.928
7 Se 0.500 0.500 0.500
8 Se 0.838 0.838 0.072
9 Se 0.838 0.838 0.603
10 F 0.500 0.500 0.000

Values from the calculation:
space group	C2/m
total magnetic moment	0.0	μB per cell
Fermi-level density of states	2.328	states/eV/f.u.
E_form (uncorrected)	-2.064	eV/atom

***

Record 13
A plane-wave DFT calculation with PBE was carried out for a relaxed structure of Ac4Se5F2.

abc: 9.301 9.301 8.478
angles: 101.01 101.01 28.14
Sites, in units of the cell vectors:
1 Ac 0.014 0.014 0.256
2 Ac 0.287 0.287 0.773
3 Ac 0.713 0.713 0.227
4 Ac 0.986 0.986 0.744
5 Se 0.149 0.149 0.968
6 Se 0.172 0.172 0.442
7 Se 0.500 0.500 0.500
8 Se 0.828 0.828 0.558
9 Se 0.851 0.851 0.032
10 F 0.440 0.440 0.830
11 F 0.560 0.560 0.170

Values from the calculation:
space group	C2/m
total magnetic moment	0.0	μB per cell
Fermi-level density of states	0.000	states/eV/f.u.
E_form (uncorrected)	-2.418	eV/atom

***

Record 14
A plane-wave DFT calculation with PBE was carried out for a relaxed structure of Ac3Se3F2.

abc: 7.098 7.098 14.980
angles: 90.00 90.00 146.26
Sites, in units of the cell vectors:
1 Ac 0.126 0.874 0.554
2 Ac 0.126 0.874 0.946
3 Ac 0.144 0.856 0.250
4 Ac 0.856 0.144 0.750
5 Ac 0.874 0.126 0.054
6 Ac 0.874 0.126 0.446
7 Se 0.184 0.816 0.750
8 Se 0.449 0.551 0.608
9 Se 0.449 0.551 0.892
10 Se 0.551 0.449 0.108
11 Se 0.551 0.449 0.392
12 Se 0.816 0.184 0.250
13 F 0.256 0.744 0.069
14 F 0.256 0.744 0.431
15 F 0.744 0.256 0.569
16 F 0.744 0.256 0.931

Values from the calculation:
space group	Cmcm
total magnetic moment	0.0	μB per cell
Fermi-level density of states	2.304	states/eV/f.u.
E_form (uncorrected)	-2.618	eV/atom

***

Record 15
A plane-wave DFT calculation with PBE was carried out for a relaxed structure of AcSe2F8.

abc: 6.719 6.719 5.480
angles: 94.24 94.24 45.50
Sites, in units of the cell vectors:
1 Ac 0.000 0.000 0.000
2 Se 0.298 0.298 0.455
3 Se 0.702 0.702 0.545
4 F 0.167 0.652 0.290
5 F 0.196 0.196 0.160
6 F 0.348 0.833 0.710
7 F 0.386 0.386 0.754
8 F 0.614 0.614 0.246
9 F 0.652 0.167 0.290
10 F 0.804 0.804 0.840
11 F 0.833 0.348 0.710

Values from the calculation:
space group	C2/m
total magnetic moment	0.0	μB per cell
Fermi-level density of states	2.045	states/eV/f.u.
E_form (uncorrected)	-2.204	eV/atom

***

Record 16
A plane-wave DFT calculation with PBE was carried out for a relaxed structure of Ac4Si2F.

abc: 9.223 9.223 9.223
angles: 148.20 148.20 45.59
Sites, in units of the cell vectors:
1 Ac 0.000 0.500 0.500
2 Ac 0.187 0.187 0.000
3 Ac 0.500 0.000 0.500
4 Ac 0.813 0.813 0.000
5 Si 0.372 0.372 0.000
6 Si 0.628 0.628 0.000
7 F 0.000 0.000 0.000

Values from the calculation:
space group	I4/mmm
total magnetic moment	1.5	μB per cell
Fermi-level density of states	6.196	states/eV/f.u.
E_form (uncorrected)	-0.873	eV/atom

***

Record 17
A plane-wave DFT calculation with PBE was carried out for a relaxed structure of Ac6Si3F.

abc: 7.105 8.389 12.798
angles: 90.00 121.28 90.00
Sites, in units of the cell vectors:
1 Ac 0.082 0.188 0.433
2 Ac 0.082 0.312 0.933
3 Ac 0.275 0.674 0.429
4 Ac 0.275 0.826 0.929
5 Ac 0.398 0.041 0.242
6 Ac 0.398 0.459 0.742
7 Ac 0.602 0.541 0.258
8 Ac 0.602 0.959 0.758
9 Ac 0.725 0.174 0.071
10 Ac 0.725 0.326 0.571
11 Ac 0.918 0.688 0.067
12 Ac 0.918 0.812 0.567
13 Si 0.168 0.123 0.739
14 Si 0.168 0.377 0.239
15 Si 0.500 0.000 0.500
16 Si 0.500 0.500 0.000
17 Si 0.832 0.623 0.761
18 Si 0.832 0.877 0.261
19 F 0.000 0.000 0.000
20 F 0.000 0.500 0.500

Values from the calculation:
space group	P2_1/c
total magnetic moment	1.7	μB per cell
Fermi-level density of states	9.740	states/eV/f.u.
E_form (uncorrected)	-0.795	eV/atom

***

Record 18
A plane-wave DFT calculation with PBE was carried out for a relaxed structure of AcSi2F8.

abc: 5.799 5.799 8.231
angles: 123.57 123.57 52.38
Sites, in units of the cell vectors:
1 Ac 0.000 0.000 0.000
2 Si 0.128 0.128 0.677
3 Si 0.872 0.872 0.323
4 F 0.140 0.674 0.212
5 F 0.241 0.241 0.326
6 F 0.326 0.860 0.788
7 F 0.336 0.336 0.858
8 F 0.664 0.664 0.142
9 F 0.674 0.140 0.212
10 F 0.759 0.759 0.674
11 F 0.860 0.326 0.788

Values from the calculation:
space group	C2/m
total magnetic moment	1.0	μB per cell
E_form (uncorrected)	-2.974	eV/atom

***

Record 19
A plane-wave DFT calculation with PBE was carried out for a relaxed structure of Ac3Si2F.

abc: 8.943 4.506 17.763
angles: 90.00 90.00 90.00
Sites, in units of the cell vectors:
1 Ac 0.016 0.250 0.101
2 Ac 0.122 0.750 0.427
3 Ac 0.170 0.250 0.720
4 Ac 0.330 0.750 0.220
5 Ac 0.378 0.250 0.927
6 Ac 0.484 0.750 0.601
7 Ac 0.516 0.250 0.399
8 Ac 0.622 0.750 0.073
9 Ac 0.670 0.250 0.780
10 Ac 0.830 0.750 0.280
11 Ac 0.878 0.250 0.573
12 Ac 0.984 0.750 0.899
13 Si 0.100 0.250 0.285
14 Si 0.247 0.750 0.036
15 Si 0.253 0.250 0.536
16 Si 0.400 0.750 0.785
17 Si 0.600 0.250 0.215
18 Si 0.747 0.750 0.464
19 Si 0.753 0.250 0.964
20 Si 0.900 0.750 0.715
21 F 0.111 0.250 0.865
22 F 0.389 0.750 0.365
23 F 0.611 0.250 0.635
24 F 0.889 0.750 0.135

Values from the calculation:
space group	Pnma
total magnetic moment	0.0	μB per cell
Fermi-level density of states	1.126	states/eV/f.u.
E_form (uncorrected)	-1.283	eV/atom

***

Record 20
A plane-wave DFT calculation with PBE was carried out for a relaxed structure of AcSm3F.

abc: 5.255 5.255 5.255
angles: 90.00 90.00 90.00
Sites, in units of the cell vectors:
1 Ac 0.000 0.000 0.000
2 Sm 0.000 0.500 0.500
3 Sm 0.500 0.000 0.500
4 Sm 0.500 0.500 0.000
5 F 0.500 0.500 0.500

Values from the calculation:
space group	Pm-3m
total magnetic moment	0.0	μB per cell
Fermi-level density of states	4.129	states/eV/f.u.
E_form (uncorrected)	-0.926	eV/atom